Record 1
Computed, not measured: crystalline LaDyCl6 at its relaxed geometry at the PBE level of DFT.

It has space group R-3 (No. 148, hexagonal axes), with a = 6.8872 Å, b = 6.8872 Å, c = 18.9275 Å, α = 90.00°, β = 90.00° and γ = 120.00°. The asymmetric unit holds La at (0.0000, 0.0000, 0.0000), Dy at (0.0000, 0.0000, 0.5000) and Cl at (0.0113, 0.6523, 0.2476).

The formation energy (no corrections) is -2302 meV per atom.

***

Record 2
Computed, not measured: crystalline La2DyN2Cl2 at its relaxed geometry at the PBE level of DFT.

It has space group I4/mmm (No. 139), with a = 4.525 Å, b = 4.525 Å, c = 15.332 Å, α = 90.00°, β = 90.00° and γ = 90.00°. The asymmetric unit holds La at (0.000, 0.000, 0.099), Dy at (0.000, 0.000, 0.500), N at (0.000, 0.500, 0.000) and Cl at (0.000, 0.000, 0.317).

The formation energy (no corrections) is -1600 meV per atom.

***

Record 3
Computed, not measured: crystalline La2DyP2Cl2 at its relaxed geometry at the PBE level of DFT.

It has space group I4/mmm (No. 139), with a = 5.298 Å, b = 5.298 Å, c = 14.804 Å, α = 90.00°, β = 90.00° and γ = 90.00°. The asymmetric unit holds La at (0.000, 0.000, 0.109), Dy at (0.000, 0.000, 0.500), P at (0.000, 0.500, 0.000) and Cl at (0.000, 0.000, 0.307).

The formation energy (no corrections) is -1553 meV per atom.

***

Record 4
Computed, not measured: crystalline LaDyTe2Cl at its relaxed geometry at the PBE level of DFT.

It has space group P4/nmm (No. 129, origin choice 2), with a = 4.403 Å, b = 4.403 Å, c = 15.074 Å, α = 90.00°, β = 90.00° and γ = 90.00°. The asymmetric unit holds La at (0.250, 0.250, 0.136), Dy at (0.250, 0.250, 0.585), Te at (0.250, 0.250, 0.380), Te at (0.250, 0.250, 0.793) and Cl at (0.250, 0.750, 0.000).

The formation energy (no corrections) is -1692 meV per atom.

***

Record 5
Computed, not measured: crystalline LiDyCl at its relaxed geometry at the PBE level of DFT.

It has space group P-3m1 (No. 164), with a = 3.5199 Å, b = 3.5199 Å, c = 26.1571 Å, α = 90.00°, β = 90.00° and γ = 120.00°. The asymmetric unit holds Li at (0.3333, 0.6667, 0.3280), Li at (0.3333, 0.6667, 0.4441), Dy at (0.3333, 0.6667, 0.7806), Dy at (0.3333, 0.6667, 0.9470), Cl at (0.3333, 0.6667, 0.1384) and Cl at (0.3333, 0.6667, 0.6114).

The formation energy (no corrections) is -928 meV per atom.

***

Record 6
Computed, not measured: crystalline LiDyCl4 at its relaxed geometry at the PBE level of DFT.

It has space group C2/c (No. 15), with a = 8.223 Å, b = 16.934 Å, c = 6.348 Å, α = 90.00°, β = 129.21° and γ = 90.00°. The asymmetric unit holds Li at (0.000, 0.134, 0.250), Dy at (0.000, 0.330, 0.750), Cl at (0.207, 0.204, 0.721) and Cl at (0.226, 0.424, 0.722).

The formation energy (no corrections) is -2089 meV per atom. The value obtained for the relative energy among the computed polymorphs is 11 meV/atom.

***

What is the formula in the third record? La2DyP2Cl2

***

What is the formation energy (no corrections) in the fourth record? -1692 meV per atom

***

Number 5 is which compound? LiDyCl